# 1
{
  "formula": "Pa2AlPb",
  "functional": "PBE",
  "state": "optimized geometry",
  "lattice": [[1.584, 0.915, 11.933], [-1.584, 0.915, 11.933], [0.000, -1.829, 11.933]],
  "species": ["Pa", "Pa", "Al", "Pb"],
  "fractional_positions": [[0.085, 0.085, 0.085], [0.915, 0.915, 0.915], [0.000, 0.000, 0.000], [0.500, 0.500, 0.500]],
  "ef_ev_per_fu": 1.41,
  "total_magnetization_mub_per_atom": 0.16,
  "spacegroup": "R-3m (166)",
  "vol_a3_per_cell": 104
}



# 2
{
  "formula": "SrLaPd6",
  "functional": "PBE",
  "state": "optimized geometry",
  "lattice": [[5.420, 0.000, 0.000], [0.000, 5.420, 0.000], [0.000, 0.000, 5.420]],
  "species": ["Sr", "La", "Pd", "Pd", "Pd", "Pd", "Pd", "Pd"],
  "fractional_positions": [[0.000, 0.000, 0.000], [0.500, 0.500, 0.500], [0.000, 0.251, 0.500], [0.000, 0.749, 0.500], [0.251, 0.500, 0.000], [0.500, 0.000, 0.251], [0.500, 0.000, 0.749], [0.749, 0.500, 0.000]],
  "ef_ev_per_fu": -3.09,
  "total_magnetization_mub_per_atom": 0.00,
  "spacegroup": "Pm-3 (200)",
  "vol_a3_per_cell": 159
}



# 3
{
  "formula": "Li2PmCrN4",
  "functional": "PBE",
  "state": "optimized geometry",
  "lattice": [[-2.671, 2.671, 3.268], [2.671, -2.671, 3.268], [2.671, 2.671, -3.268]],
  "species": ["Li", "Li", "Pm", "Cr", "N", "N", "N", "N"],
  "fractional_positions": [[0.250, 0.750, 0.500], [0.750, 0.250, 0.500], [0.000, 0.000, 0.000], [0.500, 0.500, 0.000], [0.159, 0.539, 0.000], [0.461, 0.461, 0.619], [0.539, 0.159, 0.000], [0.841, 0.841, 0.381]],
  "formation_energy_uncorrected_ev_per_atom": -0.628,
  "total_magnetization_mub_per_atom": 0.06,
  "spacegroup": "I-42m (121)",
  "vol_a3_per_cell": 93
}



# 4
{
  "formula": "K2DyRu3O12",
  "functional": "PBE",
  "state": "optimized geometry",
  "lattice": [[3.660, 2.113, 6.149], [-3.660, 2.113, 6.149], [0.000, -4.226, 6.149]],
  "species": ["K", "K", "Dy", "Ru", "Ru", "Ru", "O", "O", "O", "O", "O", "O", "O", "O", "O", "O", "O", "O"],
  "fractional_positions": [[0.129, 0.129, 0.129], [0.871, 0.871, 0.871], [0.500, 0.500, 0.500], [0.000, 0.500, 0.500], [0.500, 0.000, 0.500], [0.500, 0.500, 0.000], [0.136, 0.584, 0.584], [0.198, 0.198, 0.578], [0.198, 0.578, 0.198], [0.416, 0.416, 0.864], [0.416, 0.864, 0.416], [0.422, 0.802, 0.802], [0.578, 0.198, 0.198], [0.584, 0.136, 0.584], [0.584, 0.584, 0.136], [0.802, 0.422, 0.802], [0.802, 0.802, 0.422], [0.864, 0.416, 0.416]],
  "formation_energy_uncorrected_ev_per_atom": -1.266,
  "total_magnetization_mub_per_atom": 0.12,
  "spacegroup": "R-3m (166)",
  "vol_a3_per_cell": 285
}



# 5
{
  "formula": "LiIrOs",
  "functional": "PBE",
  "state": "optimized geometry",
  "lattice": [[4.225, -1.967, 0.000], [4.225, 1.967, 0.000], [-1.150, 0.000, 5.034]],
  "species": ["Li", "Li", "Ir", "Ir", "Os", "Os"],
  "fractional_positions": [[0.000, 0.000, 0.000], [0.638, 0.638, 0.883], [0.338, 0.338, 0.163], [0.977, 0.977, 0.492], [0.297, 0.297, 0.676], [0.664, 0.664, 0.398]],
  "ef_ev_per_fu": 0.14,
  "total_magnetization_mub_per_atom": 0.00,
  "spacegroup": "Cm (8)",
  "vol_a3_per_cell": 84
}



# 6
{
  "formula": "CaReNi",
  "functional": "PBE",
  "state": "optimized geometry",
  "lattice": [[4.644, 0.000, 0.000], [-2.322, 4.022, 0.000], [0.000, 0.000, 2.701]],
  "species": ["Ca", "Re", "Ni"],
  "fractional_positions": [[0.000, 0.000, 0.000], [0.333, 0.667, 0.500], [0.667, 0.333, 0.500]],
  "ef_ev_per_fu": 1.99,
  "total_magnetization_mub_per_atom": 0.00,
  "spacegroup": "P-6m2 (187)",
  "vol_a3_per_cell": 50
}